A plane-wave DFT calculation with GGA-PBE was carried out for a relaxed Y3ThTl4Se8 crystal.

Calculated values
* symmetry: No. 166
* formation energy without anion corrections: -1.328 eV/atom

a = 8.379 Å, b = 9.248 Å, c = 8.381 Å
α = 116.97°, β = 119.99°, γ = 90.00°
Positions (direct):
Se  0.267  0.293  0.030
Th  0.000  0.500  0.000
Tl  0.500  0.000  0.000
Se  0.733  0.707  0.970
Se  0.266  0.297  0.531
Y  0.500  0.500  0.500
Y  0.500  0.500  0.000
Se  0.763  0.293  0.030
Se  0.734  0.703  0.469
Tl  0.000  0.000  0.500
Se  0.763  0.293  0.526
Se  0.237  0.707  0.970
Se  0.237  0.707  0.474
Tl  0.500  0.000  0.500
Tl  0.000  0.000  0.000
Y  0.000  0.500  0.500